(1)
DFT (GGA-PBEsol) results for a relaxed structure of LiH2N.

Results
**V**: 8.18 Å³ per atom
**Space group**: No. 15
**Spin magnetization**: 0.00 μB/f.u.
**E**: -4.81 eV per atom
**Mass density**: 1.2 g/cm³

Cell lengths 5.4628, 5.4628, 3.7964 Å; angles 92.08, 92.08, 144.42 degrees
Sites, in units of the cell vectors:
Li 0.2304 0.7696 0.7500
Li 0.7696 0.2304 0.2500
H 0.1248 0.2970 0.8683
H 0.2970 0.1248 0.3683
H 0.7030 0.8752 0.6317
H 0.8752 0.7030 0.1317
N 0.1501 0.8499 0.2500
N 0.8499 0.1501 0.7500

---

(2)
DFT (GGA-PBEsol) results for a relaxed structure of Li7H5N4.

Results
**V**: 7.87 Å³ per atom
**Space group**: No. 33
**Spin magnetization**: 0.00 μB/f.u.
**E**: -4.58 eV per atom
**Mass density**: 1.4 g/cm³

Cell lengths 6.9391, 10.2848, 7.0605 Å; angles 90.00, 90.00, 90.00 degrees
Sites, in units of the cell vectors:
Li 0.0046 0.1050 0.0000
Li 0.0067 0.8811 0.0674
Li 0.0145 0.6286 0.0463
Li 0.1915 0.9095 0.7877
Li 0.2293 0.0932 0.2831
Li 0.2390 0.3652 0.7755
Li 0.2475 0.6367 0.2765
Li 0.2525 0.1367 0.7765
Li 0.2610 0.8652 0.2755
Li 0.2707 0.5932 0.7831
Li 0.3085 0.4095 0.2877
Li 0.4855 0.1286 0.5463
Li 0.4933 0.3811 0.5674
Li 0.4954 0.6050 0.5000
Li 0.5046 0.3950 0.0000
Li 0.5067 0.6189 0.0674
Li 0.5145 0.8714 0.0463
Li 0.6915 0.5905 0.7877
Li 0.7293 0.4068 0.2831
Li 0.7390 0.1348 0.7755
Li 0.7475 0.8633 0.2765
Li 0.7525 0.3633 0.7765
Li 0.7610 0.6348 0.2755
Li 0.7707 0.9068 0.7831
Li 0.8085 0.0905 0.2877
Li 0.9855 0.3714 0.5463
Li 0.9933 0.1189 0.5674
Li 0.9954 0.8950 0.5000
H 0.0038 0.2948 0.1886
H 0.0041 0.7064 0.4076
H 0.1317 0.5430 0.5126
H 0.1346 0.2613 0.3718
H 0.1494 0.4467 0.0421
H 0.3506 0.9467 0.5421
H 0.3654 0.7613 0.8718
H 0.3683 0.0430 0.0126
H 0.4959 0.2064 0.9076
H 0.4962 0.7948 0.6886
H 0.5038 0.2052 0.1886
H 0.5041 0.7936 0.4076
H 0.6317 0.9570 0.5126
H 0.6346 0.2387 0.3718
H 0.6494 0.0533 0.0421
H 0.8506 0.5533 0.5421
H 0.8654 0.7387 0.8718
H 0.8683 0.4570 0.0126
H 0.9959 0.2936 0.9076
H 0.9962 0.7052 0.6886
N 0.0038 0.7571 0.2800
N 0.0068 0.2346 0.3056
N 0.2331 0.0096 0.5415
N 0.2441 0.9894 0.0386
N 0.2559 0.4894 0.5386
N 0.2669 0.5096 0.0415
N 0.4932 0.7346 0.8056
N 0.4962 0.2571 0.7800
N 0.5038 0.7429 0.2800
N 0.5068 0.2654 0.3056
N 0.7331 0.4904 0.5415
N 0.7441 0.5106 0.0386
N 0.7559 0.0106 0.5386
N 0.7669 0.9904 0.0415
N 0.9932 0.7654 0.8056
N 0.9962 0.2429 0.7800

---

(3)
DFT (GGA-PBEsol) results for a relaxed structure of Li2HN.

Results
**V**: 7.70 Å³ per atom
**Space group**: No. 44
**Spin magnetization**: 0.00 μB/f.u.
**E**: -4.44 eV per atom
**Mass density**: 1.6 g/cm³

Cell lengths 3.6292, 3.6292, 3.6292 Å; angles 121.62, 81.80, 128.19 degrees
Sites, in units of the cell vectors:
Li 0.2075 0.0000 0.2075
Li 0.7925 0.0000 0.7925
H 0.7255 0.2255 0.5000
N 0.0534 0.5534 0.5000

---

(4)
DFT (GGA-PBEsol) results for a relaxed structure of LiH2N.

Results
**V**: 7.12 Å³ per atom
**Space group**: No. 113
**Spin magnetization**: 0.00 μB/f.u.
**E**: -4.81 eV per atom
**Mass density**: 1.3 g/cm³

Cell lengths 3.5903, 3.5903, 4.4172 Å; angles 90.00, 90.00, 90.00 degrees
Sites, in units of the cell vectors:
Li 0.0000 0.0000 0.0000
Li 0.5000 0.5000 0.0000
H 0.1555 0.3445 0.3896
H 0.3445 0.8445 0.6104
H 0.6555 0.1555 0.6104
H 0.8445 0.6555 0.3896
N 0.0000 0.5000 0.2370
N 0.5000 0.0000 0.7630

---

(5)
DFT (GGA-PBEsol) results for a relaxed structure of LiH2N.

Results
**V**: 7.62 Å³ per atom
**Space group**: No. 82
**Spin magnetization**: 0.00 μB/f.u.
**E**: -4.83 eV per atom
**Mass density**: 1.3 g/cm³

Cell lengths 6.1754, 6.1754, 6.1754 Å; angles 133.47, 133.47, 67.91 degrees
Sites, in units of the cell vectors:
Li 0.0000 0.0000 0.0000
Li 0.2417 0.2417 0.0000
Li 0.7500 0.2500 0.5000
Li 0.7583 0.7583 0.0000
H 0.1728 0.5453 0.8339
H 0.2946 0.5517 0.5985
H 0.3039 0.7054 0.2571
H 0.4483 0.0468 0.7429
H 0.4547 0.2887 0.6275
H 0.6612 0.8272 0.3725
H 0.7113 0.3388 0.1661
H 0.9532 0.6961 0.4015
N 0.1021 0.6114 0.9796
N 0.3886 0.3682 0.4908
N 0.6318 0.1225 0.0204
N 0.8775 0.8979 0.5092

---

(6)
DFT (GGA-PBEsol) results for a relaxed structure of LiH2N.

Results
**V**: 7.10 Å³ per atom
**Space group**: No. 33
**Spin magnetization**: 0.00 μB/f.u.
**E**: -4.76 eV per atom
**Mass density**: 1.3 g/cm³

Cell lengths 6.3503, 3.0934, 5.7800 Å; angles 90.00, 90.00, 90.00 degrees
Sites, in units of the cell vectors:
Li 0.0679 0.1721 0.0000
Li 0.4321 0.6721 0.5000
Li 0.5679 0.3279 0.0000
Li 0.9321 0.8279 0.5000
H 0.1457 0.3770 0.6935
H 0.2119 0.2506 0.3143
H 0.2881 0.7506 0.8143
H 0.3543 0.8770 0.1935
H 0.6457 0.1230 0.6935
H 0.7119 0.2494 0.3143
H 0.7881 0.7494 0.8143
H 0.8543 0.6230 0.1935
N 0.1356 0.6891 0.7592
N 0.3644 0.1891 0.2592
N 0.6356 0.8109 0.7592
N 0.8644 0.3109 0.2592